[1]
# InTe (PBE, relaxed)
# * space group: No. 59
# * total magnetic moment: 0.000 Bohr magnetons per cell
# * electronic total energy: -38.0 eV for the cell shown
data_InTe
_chemical_formula_sum 'In6 Te6'
_space_group_name_H-M_alt 'P 1'
_space_group_IT_number 1
_cell_length_a 4.290
_cell_length_b 5.959
_cell_length_c 16.452
_cell_angle_alpha 90.00
_cell_angle_beta 90.00
_cell_angle_gamma 90.00
loop_
_space_group_symop_operation_xyz
'x,y,z'
loop_
_atom_site_label
_atom_site_fract_x
_atom_site_fract_y
_atom_site_fract_z
Te1 0.000 0.523 0.147
Te2 0.500 0.477 0.647
In1 0.500 0.855 0.196
In2 0.000 0.145 0.304
Te3 0.500 0.477 0.353
In3 0.000 0.145 0.696
In4 0.000 0.759 0.000
In5 0.500 0.241 0.500
Te4 0.000 0.523 0.853
In6 0.500 0.855 0.804
Te5 0.500 0.068 0.000
Te6 0.000 0.932 0.500

[2]
# Mg3P5 (PBE, relaxed)
# * space group: No. 193
# * total magnetic moment: 0.004 Bohr magnetons per cell
# * energy above the lowest structure with this stoichiometry: 0.1356 eV per atom
# * electronic total energy: -64.9 eV for the cell shown
# * formation energy: -0.075 eV/atom
data_Mg3P5
_chemical_formula_sum 'Mg6 P10'
_space_group_name_H-M_alt 'P 1'
_space_group_IT_number 1
_cell_length_a 7.437
_cell_length_b 7.437
_cell_length_c 6.298
_cell_angle_alpha 90.00
_cell_angle_beta 90.00
_cell_angle_gamma 120.00
loop_
_space_group_symop_operation_xyz
'x,y,z'
loop_
_atom_site_label
_atom_site_fract_x
_atom_site_fract_y
_atom_site_fract_z
P1 0.167 0.000 0.250
P2 0.833 0.000 0.750
Mg1 0.452 0.452 0.250
P3 0.833 0.833 0.250
P4 0.167 0.167 0.750
P5 0.000 0.833 0.750
P6 0.333 0.667 0.000
Mg2 0.452 0.000 0.750
Mg3 0.000 0.452 0.750
P7 0.667 0.333 0.000
P8 0.000 0.167 0.250
Mg4 0.548 0.000 0.250
P9 0.667 0.333 0.500
P10 0.333 0.667 0.500
Mg5 0.548 0.548 0.750
Mg6 0.000 0.548 0.250

[3]
# ZnI2Cl (PBE, relaxed)
# * space group: No. 225
# * total magnetic moment: 0.000 Bohr magnetons per cell
# * energy above the lowest structure with this stoichiometry: 0.4061 eV per atom
# * electronic total energy: -5.3 eV for the cell shown
data_ZnI2Cl
_chemical_formula_sum 'Zn1 I2 Cl1'
_space_group_name_H-M_alt 'P 1'
_space_group_IT_number 1
_cell_length_a 5.317
_cell_length_b 5.317
_cell_length_c 5.317
_cell_angle_alpha 60.00
_cell_angle_beta 60.00
_cell_angle_gamma 60.00
loop_
_space_group_symop_operation_xyz
'x,y,z'
loop_
_atom_site_label
_atom_site_fract_x
_atom_site_fract_y
_atom_site_fract_z
Cl1 0.000 0.000 0.000
I1 0.750 0.750 0.750
Zn1 0.500 0.500 0.500
I2 0.250 0.250 0.250

[4]
# SbPW (PBE, relaxed)
# * space group: No. 107
# * total magnetic moment: 0.000 Bohr magnetons per cell
# * energy above the lowest structure with this stoichiometry: 0.0615 eV per atom
# * electronic total energy: -22.0 eV for the cell shown
data_SbPW
_chemical_formula_sum 'Sb1 P1 W1'
_space_group_name_H-M_alt 'P 1'
_space_group_IT_number 1
_cell_length_a 6.583
_cell_length_b 6.583
_cell_length_c 6.583
_cell_angle_alpha 152.74
_cell_angle_beta 152.74
_cell_angle_gamma 38.93
loop_
_space_group_symop_operation_xyz
'x,y,z'
loop_
_atom_site_label
_atom_site_fract_x
_atom_site_fract_y
_atom_site_fract_z
P1 0.046 0.046 0.000
W1 0.645 0.645 0.000
Sb1 0.309 0.309 0.000